# KVBiO4 PBE+U relaxed
# final energy	-6.204	eV/atom
# DOS at the Fermi energy	0.0925	states/eV/atom
data_KVBiO4
_cell_length_a 5.608
_cell_length_b 5.842
_cell_length_c 7.718
_cell_angle_alpha 90.00
_cell_angle_beta 106.08
_cell_angle_gamma 90.00
_symmetry_space_group_name_H-M 'P 1 21/m 1'
_symmetry_Int_Tables_number 11
loop_
_symmetry_equiv_pos_as_xyz
'x,y,z'
'-x,-y,-z'
'-x,y+1/2,-z'
'x,-y+1/2,z'
loop_
_atom_site_label
_atom_site_type_symbol
_atom_site_fract_x
_atom_site_fract_y
_atom_site_fract_z
K1 K 0.220 0.250 0.080
V1 V 0.469 0.250 0.716
Bi1 Bi 0.167 0.750 0.520
O1 O 0.205 0.750 0.211
O2 O 0.337 0.006 0.779
O3 O 0.407 0.250 0.478

***

# K3V2BiO8 PBE+U relaxed
# final energy	-6.293	eV/atom
# DOS at the Fermi energy	0.0000	states/eV/atom
data_K3V2BiO8
_cell_length_a 6.0785
_cell_length_b 6.0785
_cell_length_c 7.7530
_cell_angle_alpha 90.00
_cell_angle_beta 90.00
_cell_angle_gamma 120.00
_symmetry_space_group_name_H-M 'P -3 m 1'
_symmetry_Int_Tables_number 164
_symmetry_space_group_name_Hall '-P 3 2"'
loop_
_atom_site_label
_atom_site_type_symbol
_atom_site_fract_x
_atom_site_fract_y
_atom_site_fract_z
K1 K 0.0000 0.0000 0.0000
K2 K 0.3333 0.6667 0.6899
V1 V 0.3333 0.6667 0.2371
Bi1 Bi 0.0000 0.0000 0.5000
O1 O 0.1751 0.3502 0.3151
O2 O 0.3333 0.6667 0.0211

***

# K3VBi3O8 PBE+U relaxed
# final energy	-5.582	eV/atom
data_K3VBi3O8
_cell_length_a 6.9448
_cell_length_b 6.9448
_cell_length_c 18.9981
_cell_angle_alpha 90.00
_cell_angle_beta 90.00
_cell_angle_gamma 120.00
_symmetry_space_group_name_H-M 'R -3 m'
_symmetry_Int_Tables_number 166
_symmetry_space_group_name_Hall '-R 3 2"'
loop_
_atom_site_label
_atom_site_type_symbol
_atom_site_fract_x
_atom_site_fract_y
_atom_site_fract_z
K1 K 0.0000 0.5000 0.0000
V1 V 0.0000 0.0000 0.5000
Bi1 Bi 0.0000 0.5000 0.5000
O1 O 0.0000 0.0000 0.2353
O2 O 0.0484 0.5242 0.2243